A plane-wave DFT calculation with GGA-PBE was carried out for PuTlAgO4 after structural relaxation.

Formation energy (no corrections) (eV per atom): -1.2182
Electronic total energy (eV per atom): -6.844
D(E_F) (states/eV per atom): 0.870
Magnetic moment (μB/atom): 0.286

Cell: 6.617 5.358 7.980 Å, 90.00 114.24 90.00°
Positions (direct):
Pu  0.700  0.250  0.661
O  0.939  0.491  0.694
O  0.487  0.250  0.393
Pu  0.300  0.750  0.339
Ag  0.828  0.750  0.439
O  0.061  0.991  0.306
O  0.513  0.750  0.607
Tl  0.299  0.250  0.019
O  0.939  0.009  0.694
O  0.517  0.250  0.816
O  0.061  0.509  0.306
Ag  0.172  0.250  0.561
O  0.483  0.750  0.184
Tl  0.701  0.750  0.981